No. 1
Computed, not measured: a geometry-optimized LaFeCo3 structure at the GGA-PBE level of DFT.

Summary:
The value obtained for the total magnetization is 5.8 μB per cell. The energy above the lowest structure with this stoichiometry is 6.77 eV per formula unit. Its space group is Pm-3m, No. 221. Its density of states at the Fermi level is 12.0 states/eV/f.u.

POSCAR file:
```
LaFeCo3
1.0
4.549 0.000 0.000
0.000 4.549 0.000
0.000 0.000 4.549
La Fe Co
1 1 3
Cartesian
0.000 0.000 0.000
2.274 2.274 2.274
0.000 0.000 2.274
0.000 2.274 0.000
2.274 0.000 0.000
```

---

No. 2
Computed, not measured: a geometry-optimized La2FeCo structure at the GGA-PBE level of DFT.

Summary:
The value obtained for the total magnetization is 1.9 μB per cell. The energy above the lowest structure with this stoichiometry is 1.00 eV per formula unit. Its space group is Pmmm, No. 47. Its density of states at the Fermi level is 8.3 states/eV/f.u.

POSCAR file:
```
La2FeCo
1.0
3.524 0.000 0.000
0.000 3.542 0.000
0.000 0.000 7.109
La Fe Co
2 1 1
Cartesian
0.000 0.000 1.744
0.000 0.000 5.365
1.762 1.771 3.554
1.762 1.771 0.000
```

---

Copy entry 2 word for word.
Computed, not measured: a geometry-optimized La2FeCo structure at the GGA-PBE level of DFT.

Summary:
The value obtained for the total magnetization is 1.9 μB per cell. The energy above the lowest structure with this stoichiometry is 1.00 eV per formula unit. Its space group is Pmmm, No. 47. Its density of states at the Fermi level is 8.3 states/eV/f.u.

POSCAR file:
```
La2FeCo
1.0
3.524 0.000 0.000
0.000 3.542 0.000
0.000 0.000 7.109
La Fe Co
2 1 1
Cartesian
0.000 0.000 1.744
0.000 0.000 5.365
1.762 1.771 3.554
1.762 1.771 0.000
```